Crystalline Ba2SrW3O12 at its relaxed geometry. Source: Alexandria, functional PBE+U.

Geometry as POSCAR:
```
Ba2SrW3O12
1.0
3.758 2.170 5.782
-3.758 2.170 5.782
0.000 -4.339 5.782
Ba Sr W O
2 1 3 12
direct
0.124 0.124 0.124 Ba
0.876 0.876 0.876 Ba
0.500 0.500 0.500 Sr
0.000 0.500 0.500 W
0.500 0.000 0.500 W
0.500 0.500 0.000 W
0.065 0.629 0.629 O
0.224 0.224 0.598 O
0.224 0.598 0.224 O
0.371 0.371 0.935 O
0.371 0.935 0.371 O
0.402 0.776 0.776 O
0.598 0.224 0.224 O
0.629 0.065 0.629 O
0.629 0.629 0.065 O
0.776 0.402 0.776 O
0.776 0.776 0.402 O
0.935 0.371 0.371 O
```

Values from the calculation:
Spin magnetization, μB per atom: 0.000
Crystal system: trigonal
Final energy, eV per atom: -7.210